P) The following is a DFT calculation (PBE-GGA) of a relaxed structure of HfTiZn3.

Structure (CIF):
```
data_HfTiZn3
_symmetry_space_group_name_H-M 'P 1'
_symmetry_Int_Tables_number 1
_symmetry_space_group_name_Hall 'P 1'
_cell_length_a 4.674
_cell_length_b 4.674
_cell_length_c 4.674
_cell_angle_alpha 90.00
_cell_angle_beta 90.00
_cell_angle_gamma 90.00
loop_
_atom_site_label
_atom_site_type_symbol
_atom_site_fract_x
_atom_site_fract_y
_atom_site_fract_z
Hf1 Hf 0.000 0.000 0.000
Ti1 Ti 0.500 0.500 0.500
Zn1 Zn 0.000 0.500 0.500
Zn2 Zn 0.500 0.000 0.500
Zn3 Zn 0.500 0.500 0.000
```

Calculated values
**M_tot**: 1.82 μB/f.u.
**Calculated density**: 6.9 g/cm³

***

Q) The following is a DFT calculation (PBE-GGA) of a relaxed structure of HfTiZn3.

Structure (CIF):
```
data_HfTiZn3
_symmetry_space_group_name_H-M 'P 1'
_symmetry_Int_Tables_number 1
_symmetry_space_group_name_Hall 'P 1'
_cell_length_a 4.962
_cell_length_b 4.962
_cell_length_c 4.962
_cell_angle_alpha 90.00
_cell_angle_beta 90.00
_cell_angle_gamma 90.00
loop_
_atom_site_label
_atom_site_type_symbol
_atom_site_fract_x
_atom_site_fract_y
_atom_site_fract_z
Hf1 Hf 0.000 0.000 0.000
Ti1 Ti 0.500 0.500 0.500
Zn1 Zn 0.000 0.000 0.500
Zn2 Zn 0.000 0.500 0.000
Zn3 Zn 0.500 0.000 0.000
```

Calculated values
**M_tot**: 0.00 μB/f.u.
**Calculated density**: 5.7 g/cm³

***

R) The following is a DFT calculation (PBE-GGA) of a relaxed structure of HfTiZn3.

Structure (CIF):
```
data_HfTiZn3
_symmetry_space_group_name_H-M 'P 1'
_symmetry_Int_Tables_number 1
_symmetry_space_group_name_Hall 'P 1'
_cell_length_a 12.908
_cell_length_b 12.908
_cell_length_c 4.246
_cell_angle_alpha 90.00
_cell_angle_beta 90.00
_cell_angle_gamma 166.44
loop_
_atom_site_label
_atom_site_type_symbol
_atom_site_fract_x
_atom_site_fract_y
_atom_site_fract_z
Hf1 Hf 0.075 0.925 0.750
Hf2 Hf 0.925 0.075 0.250
Ti1 Ti 0.220 0.780 0.250
Ti2 Ti 0.780 0.220 0.750
Zn1 Zn 0.323 0.677 0.250
Zn2 Zn 0.376 0.624 0.750
Zn3 Zn 0.475 0.525 0.750
Zn4 Zn 0.525 0.475 0.250
Zn5 Zn 0.624 0.376 0.250
Zn6 Zn 0.677 0.323 0.750
```

Calculated values
**M_tot**: 0.46 μB/f.u.
**Calculated density**: 8.5 g/cm³

***

Relative energies, eV/atom: P) 1.003; Q) 1.393; R) 0.000.

***

P) The following is a DFT calculation (PBE-GGA) of a relaxed structure of Hf2Ti2Zn.

Structure (CIF):
```
data_Hf2Ti2Zn
_symmetry_space_group_name_H-M 'P 1'
_symmetry_Int_Tables_number 1
_symmetry_space_group_name_Hall 'P 1'
_cell_length_a 6.950
_cell_length_b 6.950
_cell_length_c 3.969
_cell_angle_alpha 90.00
_cell_angle_beta 90.00
_cell_angle_gamma 90.00
loop_
_atom_site_label
_atom_site_type_symbol
_atom_site_fract_x
_atom_site_fract_y
_atom_site_fract_z
Hf1 Hf 0.160 0.340 0.000
Hf2 Hf 0.340 0.840 0.000
Hf3 Hf 0.660 0.160 0.000
Hf4 Hf 0.840 0.660 0.000
Ti1 Ti 0.137 0.637 0.500
Ti2 Ti 0.363 0.137 0.500
Ti3 Ti 0.637 0.863 0.500
Ti4 Ti 0.863 0.363 0.500
Zn1 Zn 0.000 0.000 0.500
Zn2 Zn 0.500 0.500 0.500
```

Calculated values
**M_tot**: 0.00 μB/f.u.
**Calculated density**: 9.0 g/cm³

***

Q) The following is a DFT calculation (PBE-GGA) of a relaxed structure of Hf2Ti2Zn.

Structure (CIF):
```
data_Hf2Ti2Zn
_symmetry_space_group_name_H-M 'P 1'
_symmetry_Int_Tables_number 1
_symmetry_space_group_name_Hall 'P 1'
_cell_length_a 7.228
_cell_length_b 7.228
_cell_length_c 3.787
_cell_angle_alpha 90.00
_cell_angle_beta 90.00
_cell_angle_gamma 90.00
loop_
_atom_site_label
_atom_site_type_symbol
_atom_site_fract_x
_atom_site_fract_y
_atom_site_fract_z
Hf1 Hf 0.144 0.356 0.000
Hf2 Hf 0.356 0.856 0.000
Hf3 Hf 0.644 0.144 0.000
Hf4 Hf 0.856 0.644 0.000
Ti1 Ti 0.151 0.651 0.500
Ti2 Ti 0.349 0.151 0.500
Ti3 Ti 0.651 0.849 0.500
Ti4 Ti 0.849 0.349 0.500
Zn1 Zn 0.000 0.000 0.000
Zn2 Zn 0.500 0.500 0.000
```

Calculated values
**M_tot**: 0.00 μB/f.u.
**Calculated density**: 8.7 g/cm³

***

R) The following is a DFT calculation (PBE-GGA) of a relaxed structure of Hf2Ti2Zn.

Structure (CIF):
```
data_Hf2Ti2Zn
_symmetry_space_group_name_H-M 'P 1'
_symmetry_Int_Tables_number 1
_symmetry_space_group_name_Hall 'P 1'
_cell_length_a 6.715
_cell_length_b 9.897
_cell_length_c 3.026
_cell_angle_alpha 90.00
_cell_angle_beta 90.00
_cell_angle_gamma 90.00
loop_
_atom_site_label
_atom_site_type_symbol
_atom_site_fract_x
_atom_site_fract_y
_atom_site_fract_z
Hf1 Hf 0.227 0.172 0.000
Hf2 Hf 0.273 0.672 0.000
Hf3 Hf 0.727 0.328 0.000
Hf4 Hf 0.773 0.828 0.000
Ti1 Ti 0.133 0.907 0.500
Ti2 Ti 0.367 0.407 0.500
Ti3 Ti 0.633 0.593 0.500
Ti4 Ti 0.867 0.093 0.500
Zn1 Zn 0.000 0.500 0.500
Zn2 Zn 0.500 0.000 0.500
```

Calculated values
**M_tot**: 0.00 μB/f.u.
**Calculated density**: 8.6 g/cm³

***

Relative energies, eV/atom: P) 0.000; Q) 0.163; R) 0.200.

***

P) The following is a DFT calculation (PBE-GGA) of a relaxed structure of HfTiZn6.

Structure (CIF):
```
data_HfTiZn6
_symmetry_space_group_name_H-M 'P 1'
_symmetry_Int_Tables_number 1
_symmetry_space_group_name_Hall 'P 1'
_cell_length_a 4.096
_cell_length_b 4.096
_cell_length_c 7.525
_cell_angle_alpha 90.00
_cell_angle_beta 90.00
_cell_angle_gamma 90.00
loop_
_atom_site_label
_atom_site_type_symbol
_atom_site_fract_x
_atom_site_fract_y
_atom_site_fract_z
Hf1 Hf 0.000 0.000 0.000
Ti1 Ti 0.000 0.000 0.500
Zn1 Zn 0.000 0.500 0.260
Zn2 Zn 0.000 0.500 0.740
Zn3 Zn 0.500 0.000 0.260
Zn4 Zn 0.500 0.000 0.740
Zn5 Zn 0.500 0.500 0.000
Zn6 Zn 0.500 0.500 0.500
```

Calculated values
**M_tot**: 0.00 μB/f.u.
**Calculated density**: 8.1 g/cm³

***

Q) The following is a DFT calculation (PBE-GGA) of a relaxed structure of HfTiZn6.

Structure (CIF):
```
data_HfTiZn6
_symmetry_space_group_name_H-M 'P 1'
_symmetry_Int_Tables_number 1
_symmetry_space_group_name_Hall 'P 1'
_cell_length_a 4.372
_cell_length_b 5.736
_cell_length_c 5.736
_cell_angle_alpha 60.09
_cell_angle_beta 90.00
_cell_angle_gamma 90.00
loop_
_atom_site_label
_atom_site_type_symbol
_atom_site_fract_x
_atom_site_fract_y
_atom_site_fract_z
Hf1 Hf 0.000 0.000 0.000
Ti1 Ti 0.500 0.668 0.668
Zn1 Zn 0.000 0.004 0.499
Zn2 Zn 0.000 0.499 0.004
Zn3 Zn 0.000 0.500 0.500
Zn4 Zn 0.500 0.174 0.174
Zn5 Zn 0.500 0.176 0.653
Zn6 Zn 0.500 0.653 0.176
```

Calculated values
**M_tot**: 0.00 μB/f.u.
**Calculated density**: 8.2 g/cm³

***

Relative energies, eV/atom: P) 0.000; Q) 0.006.

***

P) The following is a DFT calculation (PBE-GGA) of a relaxed structure of HfZr2Ti2.

Structure (CIF):
```
data_HfZr2Ti2
_symmetry_space_group_name_H-M 'P 1'
_symmetry_Int_Tables_number 1
_symmetry_space_group_name_Hall 'P 1'
_cell_length_a 7.722
_cell_length_b 7.722
_cell_length_c 3.514
_cell_angle_alpha 90.00
_cell_angle_beta 90.00
_cell_angle_gamma 90.00
loop_
_atom_site_label
_atom_site_type_symbol
_atom_site_fract_x
_atom_site_fract_y
_atom_site_fract_z
Hf1 Hf 0.000 0.000 0.000
Hf2 Hf 0.500 0.500 0.000
Zr1 Zr 0.141 0.359 0.000
Zr2 Zr 0.359 0.859 0.000
Zr3 Zr 0.641 0.141 0.000
Zr4 Zr 0.859 0.641 0.000
Ti1 Ti 0.156 0.656 0.500
Ti2 Ti 0.344 0.156 0.500
Ti3 Ti 0.656 0.844 0.500
Ti4 Ti 0.844 0.344 0.500
```

Calculated values
**M_tot**: 0.00 μB/f.u.
**Calculated density**: 7.2 g/cm³

***

Q) The following is a DFT calculation (PBE-GGA) of a relaxed structure of HfZr2Ti2.

Structure (CIF):
```
data_HfZr2Ti2
_symmetry_space_group_name_H-M 'P 1'
_symmetry_Int_Tables_number 1
_symmetry_space_group_name_Hall 'P 1'
_cell_length_a 7.630
_cell_length_b 7.630
_cell_length_c 3.593
_cell_angle_alpha 90.00
_cell_angle_beta 90.00
_cell_angle_gamma 90.00
loop_
_atom_site_label
_atom_site_type_symbol
_atom_site_fract_x
_atom_site_fract_y
_atom_site_fract_z
Hf1 Hf 0.000 0.000 0.000
Hf2 Hf 0.500 0.500 0.000
Zr1 Zr 0.169 0.331 0.500
Zr2 Zr 0.331 0.831 0.500
Zr3 Zr 0.669 0.169 0.500
Zr4 Zr 0.831 0.669 0.500
Ti1 Ti 0.127 0.627 0.000
Ti2 Ti 0.373 0.127 0.000
Ti3 Ti 0.627 0.873 0.000
Ti4 Ti 0.873 0.373 0.000
```

Calculated values
**M_tot**: 0.00 μB/f.u.
**Calculated density**: 7.3 g/cm³

***

Relative energies, eV/atom: P) 0.140; Q) 0.000.

***

P) The following is a DFT calculation (PBE-GGA) of a relaxed structure of Hf2Zr2Ti.

Structure (CIF):
```
data_Hf2Zr2Ti
_symmetry_space_group_name_H-M 'P 1'
_symmetry_Int_Tables_number 1
_symmetry_space_group_name_Hall 'P 1'
_cell_length_a 7.544
_cell_length_b 7.544
_cell_length_c 3.946
_cell_angle_alpha 90.00
_cell_angle_beta 90.00
_cell_angle_gamma 90.00
loop_
_atom_site_label
_atom_site_type_symbol
_atom_site_fract_x
_atom_site_fract_y
_atom_site_fract_z
Hf1 Hf 0.144 0.356 0.000
Hf2 Hf 0.356 0.856 0.000
Hf3 Hf 0.644 0.144 0.000
Hf4 Hf 0.856 0.644 0.000
Zr1 Zr 0.156 0.656 0.500
Zr2 Zr 0.344 0.156 0.500
Zr3 Zr 0.656 0.844 0.500
Zr4 Zr 0.844 0.344 0.500
Ti1 Ti 0.000 0.000 0.000
Ti2 Ti 0.500 0.500 0.000
```

Calculated values
**M_tot**: 0.00 μB/f.u.
**Calculated density**: 8.7 g/cm³

***

Q) The following is a DFT calculation (PBE-GGA) of a relaxed structure of Hf2Zr2Ti.

Structure (CIF):
```
data_Hf2Zr2Ti
_symmetry_space_group_name_H-M 'P 1'
_symmetry_Int_Tables_number 1
_symmetry_space_group_name_Hall 'P 1'
_cell_length_a 7.733
_cell_length_b 7.733
_cell_length_c 6.127
_cell_angle_alpha 90.00
_cell_angle_beta 90.00
_cell_angle_gamma 143.81
loop_
_atom_site_label
_atom_site_type_symbol
_atom_site_fract_x
_atom_site_fract_y
_atom_site_fract_z
Hf1 Hf 0.003 0.997 0.500
Hf2 Hf 0.202 0.798 0.498
Hf3 Hf 0.798 0.202 0.998
Hf4 Hf 0.997 0.003 0.000
Zr1 Zr 0.199 0.801 0.994
Zr2 Zr 0.402 0.598 0.748
Zr3 Zr 0.598 0.402 0.248
Zr4 Zr 0.801 0.199 0.494
Ti1 Ti 0.394 0.606 0.245
Ti2 Ti 0.606 0.394 0.745
```

Calculated values
**M_tot**: 0.00 μB/f.u.
**Calculated density**: 9.0 g/cm³

***

Relative energies, eV/atom: P) 0.156; Q) 0.000.